[1]
{"formula": "PrSm2Er3Se6", "functional": "PBE-GGA", "state": "relaxed", "lattice_angstrom": [[-4.678, 2.824, -4.493], [2.877, -6.319, -1.355], [-4.516, -1.890, 5.366]], "species": ["Se", "Se", "Se", "Er", "Se", "Sm", "Se", "Se", "Er", "Sm", "Er", "Pr"], "frac_coords": [[0.250, 0.250, 0.736], [0.573, 0.911, 0.734], [0.089, 0.427, 0.266], [0.836, 0.164, 0.500], [0.427, 0.089, 0.266], [0.666, 0.334, 0.000], [0.750, 0.750, 0.264], [0.911, 0.573, 0.734], [0.164, 0.836, 0.500], [0.334, 0.666, 0.000], [0.500, 0.500, 0.500], [0.000, 0.000, 0.000]], "sg": "C2/m"}

[2]
{"formula": "Pr3SmEr2Se6", "functional": "PBE-GGA", "state": "relaxed", "lattice_angstrom": [[7.171, -0.015, -0.003], [-3.597, 6.204, -0.003], [-1.195, -2.069, 6.952]], "species": ["Se", "Se", "Er", "Er", "Se", "Pr", "Se", "Se", "Sm", "Se", "Pr", "Pr"], "frac_coords": [[0.580, 0.922, 0.766], [0.078, 0.420, 0.234], [0.666, 0.334, 0.000], [0.334, 0.666, 0.000], [0.922, 0.580, 0.766], [0.839, 0.161, 0.500], [0.420, 0.078, 0.234], [0.265, 0.265, 0.770], [0.000, 0.000, 0.000], [0.735, 0.735, 0.230], [0.500, 0.500, 0.500], [0.161, 0.839, 0.500]], "sg": "C2/m"}

Values of formation energy from raw total energies, in order: -1.77; -1.80, all in eV/atom.